# 1
Here is an optimized crystal structure of Na3Bi4Se8 from Alexandria. Energies are from PBE.

a b c (Å): 8.4422 8.4422 8.3369
angles (deg): 119.37 119.37 90.92
Last column: nearest neighbours and their distance in Å.
Positions (direct):
Na (0.0000, 0.0000, 0.0000)  6 Se 3.00-3.06
Na (0.0000, 0.5000, 0.0000)  6 Se 2.96-3.01
Na (0.5000, 0.0000, 0.0000)  6 Se 2.96-3.01
Bi (0.0000, 0.5000, 0.5000)  6 Se 2.96-3.01
Bi (0.5000, 0.0000, 0.5000)  6 Se 2.96-3.01
Bi (0.5000, 0.5000, 0.0000)  6 Se 2.93-2.96
Bi (0.5000, 0.5000, 0.5000)  6 Se 2.85-2.98
Se (0.2497, 0.2497, 0.5027)  4 Bi 2.96-3.01, 1 Na 3.00
Se (0.2544, 0.7456, 0.0000)  3 Bi 2.96-2.98, 3 Na 2.96-3.06
Se (0.2568, 0.7432, 0.5000)  3 Bi 2.93-2.96, 2 Na 2.98
Se (0.2632, 0.2632, 0.0214)  2 Bi 2.85-2.93, 3 Na 3.00-3.01
Se (0.7368, 0.7368, 0.9786)  2 Bi 2.85-2.93, 3 Na 3.00-3.01
Se (0.7432, 0.2568, 0.5000)  3 Bi 2.93-2.96, 2 Na 2.98
Se (0.7456, 0.2544, 0.0000)  3 Bi 2.96-2.98, 3 Na 2.96-3.06
Se (0.7503, 0.7503, 0.4973)  4 Bi 2.96-3.01, 1 Na 3.00

Summary:
The space-group type is C2/m (12).

# 2
Here is an optimized crystal structure of NaBiSe3 from Alexandria. Energies are from PBE.

a b c (Å): 5.1193 5.1193 5.1193
angles (deg): 90.00 90.00 90.00
Last column: nearest neighbours and their distance in Å.
Positions (direct):
Na (0.0000, 0.0000, 0.0000)  6 Se 2.56
Bi (0.5000, 0.5000, 0.5000)  12 Se 3.62
Se (0.0000, 0.0000, 0.5000)  2 Na 2.56
Se (0.0000, 0.5000, 0.0000)  2 Na 2.56
Se (0.5000, 0.0000, 0.0000)  2 Na 2.56

Summary:
The space-group type is Pm-3m (221). Its distance to the lowest polymorph of the same formula is 0.486 eV/atom.

Total energy list, top to bottom, in eV/f.u.: -55.7, -13.4
Size of the total moment list, top to bottom, in μB/f.u.: 0.01, 0.99
E_form (uncorrected) list, top to bottom, in meV per atom: -554.2, 445.6